First-principles (GGA-PBE) data for Be3CuRu after structural relaxation, as listed in the Alexandria database. Values from VASP.

```
&SYSTEM
  ibrav = 0, nat = 5, ntyp = 3
/
ATOMIC_SPECIES
Be 9.01 Be.upf
Ru 101.07 Ru.upf
Cu 63.55 Cu.upf
CELL_PARAMETERS angstrom
-2.716 2.950 0.905
-0.550 -1.649 3.725
3.036 2.340 1.484
ATOMIC_POSITIONS crystal
Be 0.000 0.000 0.500
Be 0.000 0.500 0.000
Ru 0.000 0.000 0.000
Cu 0.500 0.500 0.500
Be 0.500 0.000 0.000
```

Values from the calculation:
Total moment (μB per formula unit): 0.000
Total energy (eV per atom): -4.156
Energy above the lowest structure with this stoichiometry (meV per atom): 109
Calculated formation energy (eV per formula unit): 3.8
Volume (Å³ per cell): 69

***

First-principles (GGA-PBE) data for GaTe2HI after structural relaxation, as listed in the Alexandria database. Values from VASP.

```
&SYSTEM
  ibrav = 0, nat = 5, ntyp = 4
/
ATOMIC_SPECIES
H 1.01 H.upf
Ga 69.72 Ga.upf
I 126.90 I.upf
Te 127.60 Te.upf
CELL_PARAMETERS angstrom
-4.386 -3.217 0.093
3.216 -4.377 0.316
-0.120 0.332 5.826
ATOMIC_POSITIONS crystal
H 0.500 0.500 0.500
Ga 0.000 0.000 0.000
I 0.000 0.000 0.500
Te 0.000 0.500 0.000
Te 0.500 0.000 0.000
```

Values from the calculation:
Total moment (μB per formula unit): 0.170
Total energy (eV per atom): -2.152
Energy above the lowest structure with this stoichiometry (meV per atom): 487
Volume (Å³ per cell): 173

***

First-principles (GGA-PBE) data for LiTaCuIr after structural relaxation, as listed in the Alexandria database. Values from VASP.

```
&SYSTEM
  ibrav = 0, nat = 4, ntyp = 4
/
ATOMIC_SPECIES
Ta 180.95 Ta.upf
Cu 63.55 Cu.upf
Ir 192.22 Ir.upf
Li 6.94 Li.upf
CELL_PARAMETERS angstrom
-4.019 1.003 -1.278
-1.249 -0.821 -4.069
-2.872 -3.149 -0.792
ATOMIC_POSITIONS crystal
Ta 0.750 0.750 0.750
Cu 0.000 0.000 0.000
Ir 0.500 0.500 0.500
Li 0.250 0.250 0.250
```

Values from the calculation:
Total moment (μB per formula unit): 0.000
Total energy (eV per atom): -6.893
Calculated formation energy (eV per formula unit): -0.8
Volume (Å³ per cell): 58

***

First-principles (GGA-PBE) data for NaZnPt2 after structural relaxation, as listed in the Alexandria database. Values from VASP.

```
&SYSTEM
  ibrav = 0, nat = 4, ntyp = 3
/
ATOMIC_SPECIES
Zn 65.41 Zn.upf
Pt 195.08 Pt.upf
Na 22.99 Na.upf
CELL_PARAMETERS angstrom
3.897 0.000 0.000
0.000 4.022 0.000
0.000 0.000 4.022
ATOMIC_POSITIONS crystal
Zn 0.500 0.000 0.000
Pt 0.000 0.500 0.000
Na 0.500 0.500 0.500
Pt 0.000 0.000 0.500
```

Values from the calculation:
Total moment (μB per formula unit): 0.000
Total energy (eV per atom): -3.918
Calculated formation energy (eV per formula unit): -1.0
Volume (Å³ per cell): 63

***

First-principles (GGA-PBE) data for PmMgCdPd after structural relaxation, as listed in the Alexandria database. Values from VASP.

```
&SYSTEM
  ibrav = 0, nat = 4, ntyp = 4
/
ATOMIC_SPECIES
Pd 106.42 Pd.upf
Mg 24.30 Mg.upf
Cd 112.41 Cd.upf
Pm 145.00 Pm.upf
CELL_PARAMETERS angstrom
5.012 0.000 0.000
2.506 4.340 0.000
2.506 1.447 4.092
ATOMIC_POSITIONS crystal
Pd 0.250 0.250 0.250
Mg 0.000 0.000 0.000
Cd 0.750 0.750 0.750
Pm 0.500 0.500 0.500
```

Values from the calculation:
Total moment (μB per formula unit): 0.000
Total energy (eV per atom): -3.585
Calculated formation energy (eV per formula unit): -1.9
Volume (Å³ per cell): 89

***

First-principles (GGA-PBE) data for Pm6Ag2Pd after structural relaxation, as listed in the Alexandria database. Values from VASP.

```
&SYSTEM
  ibrav = 0, nat = 18, ntyp = 3
/
ATOMIC_SPECIES
Pm 145.00 Pm.upf
Ag 107.87 Ag.upf
Pd 106.42 Pd.upf
CELL_PARAMETERS angstrom
6.367 0.000 0.248
0.000 8.034 0.000
-0.440 0.000 10.422
ATOMIC_POSITIONS crystal
Pm 0.144 0.044 0.758
Pm 0.359 0.794 0.441
Pm 0.856 0.956 0.242
Ag 0.592 0.891 0.731
Pd 0.500 0.500 0.000
Ag 0.908 0.391 0.769
Pm 0.849 0.661 0.551
Pm 0.859 0.706 0.941
Ag 0.408 0.109 0.269
Pm 0.644 0.456 0.258
Pm 0.141 0.294 0.059
Pm 0.356 0.544 0.742
Pm 0.651 0.161 0.949
Pm 0.641 0.206 0.559
Pd 0.000 0.000 0.500
Pm 0.151 0.339 0.449
Ag 0.092 0.609 0.231
Pm 0.349 0.839 0.051
```

Values from the calculation:
Total moment (μB per formula unit): 0.000
Total energy (eV per atom): -4.571
Calculated formation energy (eV per formula unit): -1.7
Volume (Å³ per cell): 534

***

First-principles (GGA-PBE) data for ThPaTl2 after structural relaxation, as listed in the Alexandria database. Values from VASP.

```
&SYSTEM
  ibrav = 0, nat = 4, ntyp = 3
/
ATOMIC_SPECIES
Tl 204.38 Tl.upf
Pa 231.04 Pa.upf
Th 232.04 Th.upf
CELL_PARAMETERS angstrom
4.659 0.000 0.000
0.000 4.875 0.000
0.000 0.000 4.875
ATOMIC_POSITIONS crystal
Tl 0.000 0.500 0.000
Tl 0.000 0.000 0.500
Pa 0.500 0.500 0.500
Th 0.500 0.000 0.000
```

Values from the calculation:
Total moment (μB per formula unit): 0.750
Total energy (eV per atom): -5.345
Energy above the lowest structure with this stoichiometry (meV per atom): 12
Calculated formation energy (eV per formula unit): 0.3
Volume (Å³ per cell): 111

***

First-principles (GGA-PBE) data for La2CN after structural relaxation, as listed in the Alexandria database. Values from VASP.

```
&SYSTEM
  ibrav = 0, nat = 8, ntyp = 3
/
ATOMIC_SPECIES
La 138.91 La.upf
C 12.01 C.upf
N 14.01 N.upf
CELL_PARAMETERS angstrom
-3.805 2.234 3.632
2.559 -2.698 4.340
2.764 4.252 4.777
ATOMIC_POSITIONS crystal
La 0.638 0.125 0.250
La 0.112 0.625 0.250
La 0.375 0.362 0.750
C 0.500 0.500 0.000
N 0.750 0.250 0.500
C 0.250 0.750 0.500
N 0.000 0.000 0.000
La 0.875 0.888 0.750
```

Values from the calculation:
Total moment (μB per formula unit): 0.983
Total energy (eV per atom): -7.190
Uncorrected formation energy (eV per atom): -0.339
Energy above the lowest structure with this stoichiometry (meV per atom): 0
Volume (Å³ per cell): 185

***

> What is the formula in the fifth record?

PmMgCdPd